## RbTl2SeBr (PBE-GGA)

Data for a relaxed RbTl2SeBr crystal.

```
10
Lattice="8.266 0.000 0.000 0.000 4.481 0.000 -1.224 0.000 10.405" Properties=species:S:1:pos:R:3 pbc="T T T"
Rb -0.114 1.120 2.152
Rb 7.156 3.360 8.253
Tl 1.855 1.120 5.711
Tl 3.892 1.120 2.079
Tl 3.150 3.360 8.326
Tl 5.187 3.360 4.694
Se 2.213 3.360 3.691
Se 4.829 1.120 6.714
Br 0.836 1.120 9.917
Br 6.206 3.360 0.487
```

Computed properties:
density	5.63	g cm⁻³
total energy	-3.01	eV/atom

## AcHfTi (PBE-GGA)

Data for a relaxed AcHfTi crystal.

```
6
Lattice="0.000 5.460 5.643 2.644 0.000 5.643 2.644 5.460 0.000" Properties=species:S:1:pos:R:3 pbc="T T T"
Ac 2.644 5.460 1.611
Ac 2.644 5.460 9.675
Hf 2.644 3.389 5.643
Hf 2.644 7.530 5.643
Ti 1.322 2.730 2.822
Ti 3.966 8.190 8.465
```

Computed properties:
density	9.24	g cm⁻³
density of states at the Fermi level	4.09	states/eV/f.u.
total energy	-6.85	eV/atom

Size of the total moment? In order: 0.00; 0.00 μB/f.u..